# InFeBi2O6, optimized geometry, DFT GGA+U
data_InFeBi2O6
_chemical_formula_sum 'In3 Fe3 Bi6 O18'
_space_group_name_H-M_alt 'R 3'
_space_group_IT_number 146
_space_group_name_Hall 'R 3'
_cell_length_a 5.7689
_cell_length_b 5.7689
_cell_length_c 14.4916
_cell_angle_alpha 90.00
_cell_angle_beta 90.00
_cell_angle_gamma 120.00
loop_
_atom_site_label
_atom_site_type_symbol
_atom_site_fract_x
_atom_site_fract_y
_atom_site_fract_z
In1 In 0.0000 0.0000 0.0000
Fe1 Fe 0.0000 0.0000 0.4975
Bi1 Bi 0.0000 0.0000 0.2803
Bi2 Bi 0.0000 0.0000 0.7803
O1 O 0.0873 0.3461 0.5599
O2 O 0.0926 0.7219 0.0640
# VASP energy	-5.9432	eV per atom
# crystal system	trigonal